Density functional theory data (PBE) for Pu3BiO2 after structural relaxation.

```
data_Pu3BiO2
_cell_length_a 7.0082
_cell_length_b 7.0082
_cell_length_c 5.6716
_cell_angle_alpha 90.00
_cell_angle_beta 90.00
_cell_angle_gamma 99.65
_symmetry_space_group_name_H-M 'P 1'
_symmetry_Int_Tables_number 1
_symmetry_space_group_name_Hall 'P 1'
loop_
_atom_site_label
_atom_site_fract_x
_atom_site_fract_y
_atom_site_fract_z
Pu1 0.1056 0.8944 0.7500
Pu2 0.1821 0.4116 0.7500
Pu3 0.4116 0.1821 0.2500
Pu4 0.5884 0.8179 0.7500
Pu5 0.8179 0.5884 0.2500
Pu6 0.8944 0.1056 0.2500
Bi1 0.3193 0.6807 0.2500
Bi2 0.6807 0.3193 0.7500
O1 0.1600 0.1600 0.0000
O2 0.1600 0.1600 0.5000
O3 0.8400 0.8400 0.0000
O4 0.8400 0.8400 0.5000
```

Output
M_tot = 17.0 μB per formula unit
Energy relative to the elements, uncorrected = -1.87 eV/atom
Energy = -11.332 eV/atom


Density functional theory data (PBE) for Pu2BiO6 after structural relaxation.

```
data_Pu2BiO6
_cell_length_a 3.8451
_cell_length_b 3.8451
_cell_length_c 9.4041
_cell_angle_alpha 90.00
_cell_angle_beta 90.00
_cell_angle_gamma 120.00
_symmetry_space_group_name_H-M 'P 1'
_symmetry_Int_Tables_number 1
_symmetry_space_group_name_Hall 'P 1'
loop_
_atom_site_label
_atom_site_fract_x
_atom_site_fract_y
_atom_site_fract_z
Pu1 0.3333 0.6667 0.1620
Pu2 0.6667 0.3333 0.8380
Bi1 0.0000 0.0000 0.5000
O1 0.0000 0.0000 0.2291
O2 0.0000 0.0000 0.7709
O3 0.3333 0.6667 0.3960
O4 0.3333 0.6667 0.9201
O5 0.6667 0.3333 0.0799
O6 0.6667 0.3333 0.6040
```

Output
M_tot = 7.0 μB per formula unit
Energy relative to the elements, uncorrected = -2.48 eV/atom
Energy = -9.397 eV/atom


Density functional theory data (PBE) for Pu4Bi2O after structural relaxation.

```
data_Pu4Bi2O
_cell_length_a 4.7945
_cell_length_b 4.7945
_cell_length_c 16.5525
_cell_angle_alpha 90.00
_cell_angle_beta 90.00
_cell_angle_gamma 90.00
_symmetry_space_group_name_H-M 'P 1'
_symmetry_Int_Tables_number 1
_symmetry_space_group_name_Hall 'P 1'
loop_
_atom_site_label
_atom_site_fract_x
_atom_site_fract_y
_atom_site_fract_z
Pu1 0.0000 0.0000 0.1591
Pu2 0.0000 0.0000 0.8409
Pu3 0.0000 0.5000 0.0000
Pu4 0.0000 0.5000 0.5000
Pu5 0.5000 0.0000 0.0000
Pu6 0.5000 0.0000 0.5000
Pu7 0.5000 0.5000 0.3409
Pu8 0.5000 0.5000 0.6591
Bi1 0.0000 0.0000 0.3561
Bi2 0.0000 0.0000 0.6439
Bi3 0.5000 0.5000 0.1439
Bi4 0.5000 0.5000 0.8561
O1 0.0000 0.0000 0.0000
O2 0.5000 0.5000 0.5000
```

Output
M_tot = 24.0 μB per formula unit
Energy relative to the elements, uncorrected = -0.94 eV/atom
Energy = -10.949 eV/atom


Density functional theory data (PBE) for PuBiO after structural relaxation.

```
data_PuBiO
_cell_length_a 3.4095
_cell_length_b 3.4095
_cell_length_c 23.0005
_cell_angle_alpha 90.00
_cell_angle_beta 90.00
_cell_angle_gamma 90.00
_symmetry_space_group_name_H-M 'P 1'
_symmetry_Int_Tables_number 1
_symmetry_space_group_name_Hall 'P 1'
loop_
_atom_site_label
_atom_site_fract_x
_atom_site_fract_y
_atom_site_fract_z
Pu1 0.0000 0.0000 0.1887
Pu2 0.0000 0.0000 0.8113
Pu3 0.5000 0.5000 0.3113
Pu4 0.5000 0.5000 0.6887
Bi1 0.0000 0.0000 0.4311
Bi2 0.0000 0.0000 0.5689
Bi3 0.5000 0.5000 0.0689
Bi4 0.5000 0.5000 0.9311
O1 0.0000 0.0000 0.2902
O2 0.0000 0.0000 0.7098
O3 0.5000 0.5000 0.2098
O4 0.5000 0.5000 0.7902
```

Output
M_tot = 5.6 μB per formula unit
Energy relative to the elements, uncorrected = -1.67 eV/atom
Energy = -9.394 eV/atom
Distance to the lowest polymorph of the same formula = 158 meV per atom


Density functional theory data (PBE) for PuBi2O5 after structural relaxation.

```
data_PuBi2O5
_cell_length_a 10.1202
_cell_length_b 7.0560
_cell_length_c 6.5703
_cell_angle_alpha 90.00
_cell_angle_beta 90.00
_cell_angle_gamma 90.00
_symmetry_space_group_name_H-M 'P 1'
_symmetry_Int_Tables_number 1
_symmetry_space_group_name_Hall 'P 1'
loop_
_atom_site_label
_atom_site_fract_x
_atom_site_fract_y
_atom_site_fract_z
Pu1 0.0004 0.2500 0.0313
Pu2 0.9996 0.7500 0.9687
Pu3 0.5004 0.2500 0.4687
Pu4 0.4996 0.7500 0.5313
Bi1 0.1682 0.0012 0.5164
Bi2 0.1682 0.4988 0.5164
Bi3 0.3318 0.5012 0.0164
Bi4 0.3318 0.9988 0.0164
Bi5 0.6682 0.0012 0.9836
Bi6 0.6682 0.4988 0.9836
Bi7 0.8318 0.5012 0.4836
Bi8 0.8318 0.9988 0.4836
O1 0.0008 0.7500 0.5438
O2 0.0854 0.0209 0.8354
O3 0.0854 0.4791 0.8354
O4 0.1951 0.7500 0.1365
O5 0.2084 0.2500 0.1579
O6 0.2916 0.7500 0.6579
O7 0.3049 0.2500 0.6365
O8 0.4146 0.5209 0.3354
O9 0.4146 0.9791 0.3354
O10 0.4992 0.2500 0.0438
O11 0.5008 0.7500 0.9562
O12 0.5854 0.0209 0.6646
O13 0.5854 0.4791 0.6646
O14 0.6951 0.7500 0.3635
O15 0.7084 0.2500 0.3421
O16 0.7916 0.7500 0.8421
O17 0.8049 0.2500 0.8635
O18 0.9146 0.5209 0.1646
O19 0.9146 0.9791 0.1646
O20 0.9992 0.2500 0.4562
```

Output
M_tot = 4.0 μB per formula unit
Energy relative to the elements, uncorrected = -1.84 eV/atom
Energy = -7.702 eV/atom


Density functional theory data (PBE) for Pu4Bi3O4 after structural relaxation.

```
data_Pu4Bi3O4
_cell_length_a 8.7737
_cell_length_b 7.3989
_cell_length_c 7.3989
_cell_angle_alpha 30.40
_cell_angle_beta 90.00
_cell_angle_gamma 90.00
_symmetry_space_group_name_H-M 'P 1'
_symmetry_Int_Tables_number 1
_symmetry_space_group_name_Hall 'P 1'
loop_
_atom_site_label
_atom_site_fract_x
_atom_site_fract_y
_atom_site_fract_z
Pu1 0.0000 0.0000 0.0000
Pu2 0.2395 0.6663 0.6663
Pu3 0.5000 0.0288 0.0288
Pu4 0.7605 0.6663 0.6663
Bi1 0.0000 0.3023 0.3023
Bi2 0.3256 0.3639 0.3639
Bi3 0.6744 0.3639 0.3639
O1 0.0000 0.5842 0.5842
O2 0.2488 0.0850 0.0850
O3 0.5000 0.6152 0.6152
O4 0.7512 0.0850 0.0850
```

Output
M_tot = 9.8 μB per formula unit
Energy relative to the elements, uncorrected = -1.93 eV/atom
Energy = -10.002 eV/atom


Density functional theory data (PBE) for Pu3Bi2O after structural relaxation.

```
data_Pu3Bi2O
_cell_length_a 8.0265
_cell_length_b 4.0768
_cell_length_c 19.1277
_cell_angle_alpha 90.00
_cell_angle_beta 90.00
_cell_angle_gamma 90.00
_symmetry_space_group_name_H-M 'P 1'
_symmetry_Int_Tables_number 1
_symmetry_space_group_name_Hall 'P 1'
loop_
_atom_site_label
_atom_site_fract_x
_atom_site_fract_y
_atom_site_fract_z
Pu1 0.0352 0.2500 0.1739
Pu2 0.1235 0.2500 0.3432
Pu3 0.1607 0.2500 0.5386
Pu4 0.3393 0.7500 0.0386
Pu5 0.3765 0.7500 0.8432
Pu6 0.4648 0.7500 0.6739
Pu7 0.5352 0.2500 0.3261
Pu8 0.6235 0.2500 0.1568
Pu9 0.6607 0.2500 0.9614
Pu10 0.8393 0.7500 0.4614
Pu11 0.8765 0.7500 0.6568
Pu12 0.9648 0.7500 0.8261
Bi1 0.1245 0.2500 0.9373
Bi2 0.1675 0.2500 0.7179
Bi3 0.3325 0.7500 0.2179
Bi4 0.3755 0.7500 0.4373
Bi5 0.6245 0.2500 0.5627
Bi6 0.6675 0.2500 0.7821
Bi7 0.8325 0.7500 0.2821
Bi8 0.8755 0.7500 0.0627
O1 0.0191 0.7500 0.5562
O2 0.4809 0.2500 0.0562
O3 0.5191 0.7500 0.9438
O4 0.9809 0.2500 0.4438
```

Output
M_tot = 16.2 μB per formula unit
Energy relative to the elements, uncorrected = -1.11 eV/atom
Energy = -10.393 eV/atom
Distance to the lowest polymorph of the same formula = 0 meV per atom


Density functional theory data (PBE) for Pu3BiO3 after structural relaxation.

```
data_Pu3BiO3
_cell_length_a 8.7446
_cell_length_b 8.7446
_cell_length_c 8.7446
_cell_angle_alpha 45.25
_cell_angle_beta 45.25
_cell_angle_gamma 45.25
_symmetry_space_group_name_H-M 'P 1'
_symmetry_Int_Tables_number 1
_symmetry_space_group_name_Hall 'P 1'
loop_
_atom_site_label
_atom_site_fract_x
_atom_site_fract_y
_atom_site_fract_z
Pu1 0.0544 0.7336 0.3957
Pu2 0.2664 0.6043 0.9456
Pu3 0.3957 0.0544 0.7336
Pu4 0.6043 0.9456 0.2664
Pu5 0.7336 0.3957 0.0544
Pu6 0.9456 0.2664 0.6043
Bi1 0.1666 0.1666 0.1666
Bi2 0.8334 0.8334 0.8334
O1 0.0434 0.3696 0.7016
O2 0.2984 0.9566 0.6304
O3 0.3696 0.7016 0.0434
O4 0.6304 0.2984 0.9566
O5 0.7016 0.0434 0.3696
O6 0.9566 0.6304 0.2984
```

Output
M_tot = 15.7 μB per formula unit
Energy relative to the elements, uncorrected = -2.26 eV/atom
Energy = -11.078 eV/atom
Distance to the lowest polymorph of the same formula = 0 meV per atom


Density functional theory data (PBE) for Pu2BiO after structural relaxation.

```
data_Pu2BiO
_cell_length_a 3.2530
_cell_length_b 3.2530
_cell_length_c 8.0852
_cell_angle_alpha 90.00
_cell_angle_beta 90.00
_cell_angle_gamma 90.00
_symmetry_space_group_name_H-M 'P 1'
_symmetry_Int_Tables_number 1
_symmetry_space_group_name_Hall 'P 1'
loop_
_atom_site_label
_atom_site_fract_x
_atom_site_fract_y
_atom_site_fract_z
Pu1 0.0000 0.0000 0.1883
Pu2 0.0000 0.0000 0.8117
Bi1 0.5000 0.5000 0.5000
O1 0.5000 0.5000 0.0000
```

Output
M_tot = 12.3 μB per formula unit
Energy relative to the elements, uncorrected = -0.97 eV/atom
Energy = -10.346 eV/atom
Distance to the lowest polymorph of the same formula = 462 meV per atom


Density functional theory data (PBE) for Pu2Bi2O after structural relaxation.

```
data_Pu2Bi2O
_cell_length_a 8.2856
_cell_length_b 8.2856
_cell_length_c 9.4417
_cell_angle_alpha 90.00
_cell_angle_beta 90.00
_cell_angle_gamma 156.58
_symmetry_space_group_name_H-M 'P 1'
_symmetry_Int_Tables_number 1
_symmetry_space_group_name_Hall 'P 1'
loop_
_atom_site_label
_atom_site_fract_x
_atom_site_fract_y
_atom_site_fract_z
Pu1 0.0112 0.9888 0.5000
Pu2 0.4264 0.5736 0.8159
Pu3 0.5736 0.4264 0.3159
Pu4 0.9888 0.0112 0.0000
Bi1 0.2237 0.7763 0.4982
Bi2 0.3777 0.6223 0.2606
Bi3 0.6223 0.3777 0.7606
Bi4 0.7763 0.2237 0.9982
O1 0.0830 0.9170 0.1595
O2 0.9170 0.0830 0.6595
```

Output
M_tot = 0.3 μB per formula unit
Energy relative to the elements, uncorrected = -0.86 eV/atom
Energy = -9.132 eV/atom